Cd4GaHg9: optimized geometry, PBE-GGA.

Output
Crystal system = hexagonal
Symmetry = P6_3/mmc (194)
DOS(E_F) = 10.37 states/eV per cell
ΔH_f (0 K) = 0.6 eV per formula unit
M_tot = 0.000 Bohr magnetons per cell

abc: 9.5158 9.5158 9.3260
angles: 90.00 90.00 120.00
Last column: nearest neighbours and their distance in Å.
Fractional coordinates of all 28 atoms:
Cd (0.0000, 0.0000, 0.0000)  6 Cd 3.03, 6 Hg 3.39
Cd (0.0000, 0.0000, 0.5000)  6 Cd 3.03, 6 Hg 3.39
Cd (0.1177, 0.2354, 0.2500)  4 Cd 3.03-3.36, 4 Hg 3.08-3.11
Cd (0.1177, 0.8823, 0.2500)  4 Cd 3.03-3.36, 4 Hg 3.08-3.11
Cd (0.2354, 0.1177, 0.7500)  4 Cd 3.03-3.36, 4 Hg 3.08-3.11
Cd (0.7646, 0.8823, 0.2500)  4 Cd 3.03-3.36, 4 Hg 3.08-3.11
Cd (0.8823, 0.1177, 0.7500)  4 Cd 3.03-3.36, 4 Hg 3.08-3.11
Cd (0.8823, 0.7646, 0.7500)  4 Cd 3.03-3.36, 4 Hg 3.08-3.11
Ga (0.3333, 0.6667, 0.7500)  6 Hg 2.85
Ga (0.6667, 0.3333, 0.2500)  6 Hg 2.85
Hg (0.0949, 0.5474, 0.2500)  2 Cd 3.08, 6 Hg 3.40-3.45
Hg (0.2041, 0.4083, 0.5470)  1 Ga 2.85, 1 Cd 3.11
Hg (0.2041, 0.4083, 0.9530)  1 Ga 2.85, 1 Cd 3.11
Hg (0.2041, 0.7959, 0.5470)  1 Ga 2.85, 1 Cd 3.11
Hg (0.2041, 0.7959, 0.9530)  1 Ga 2.85, 1 Cd 3.11
Hg (0.4083, 0.2041, 0.0470)  1 Ga 2.85, 1 Cd 3.11
Hg (0.4083, 0.2041, 0.4530)  1 Ga 2.85, 1 Cd 3.11
Hg (0.4526, 0.5474, 0.2500)  2 Cd 3.08, 6 Hg 3.40-3.45
Hg (0.4526, 0.9051, 0.2500)  2 Cd 3.08, 6 Hg 3.40-3.45
Hg (0.5474, 0.0949, 0.7500)  2 Cd 3.08, 6 Hg 3.40-3.45
Hg (0.5474, 0.4526, 0.7500)  2 Cd 3.08, 6 Hg 3.40-3.45
Hg (0.5917, 0.7959, 0.5470)  1 Ga 2.85, 1 Cd 3.11
Hg (0.5917, 0.7959, 0.9530)  1 Ga 2.85, 1 Cd 3.11
Hg (0.7959, 0.2041, 0.0470)  1 Ga 2.85, 1 Cd 3.11
Hg (0.7959, 0.2041, 0.4530)  1 Ga 2.85, 1 Cd 3.11
Hg (0.7959, 0.5917, 0.0470)  1 Ga 2.85, 1 Cd 3.11
Hg (0.7959, 0.5917, 0.4530)  1 Ga 2.85, 1 Cd 3.11
Hg (0.9051, 0.4526, 0.7500)  2 Cd 3.08, 6 Hg 3.40-3.45